(1)
Density functional theory data (PBE) for an optimized crystal structure of InSbTeN2.

The space group is P4/mmm (No. 123) and the conventional cell measures 4.152, 4.152 and 6.457 Å, with angles of 90.00, 90.00 and 90.00 degrees. The asymmetric unit holds In at (0.000, 0.000, 0.000), Sb at (0.500, 0.500, 0.500), Te at (0.500, 0.500, 0.000) and N at (0.000, 0.500, 0.500).

The value obtained for the total moment is 1.10 μB/f.u. The uncorrected formation energy is 1.0844 eV per atom. For the energy above the most stable polymorph in this dataset, the calculation gives 0.0 kJ per mole of atoms.

***

(2)
Density functional theory data (PBE) for an optimized crystal structure of CaEr3Ni8.

The space group is R3m (No. 160, hexagonal axes) and the conventional cell measures 5.0463, 5.0463 and 24.7394 Å, with angles of 90.00, 90.00 and 120.00 degrees. The asymmetric unit holds Ca at (0.0000, 0.0000, 0.0000), Er at (0.0000, 0.0000, 0.3724), Er at (0.0000, 0.0000, 0.4982), Er at (0.0000, 0.0000, 0.8758), Ni at (0.0000, 0.0000, 0.1866), Ni at (0.0000, 0.0000, 0.6866), Ni at (0.0031, 0.5016, 0.4378) and Ni at (0.1679, 0.3357, 0.2686).

The value obtained for the total moment is 0.00 μB/f.u. For the formation energy, the calculation gives -0.408 eV per atom.

***

(3)
Density functional theory data (PBE) for an optimized crystal structure of Li2CaZnHg4.

The space group is R-3m (No. 166, hexagonal axes) and the conventional cell measures 4.7329, 4.7329 and 26.7714 Å, with angles of 90.00, 90.00 and 120.00 degrees. The asymmetric unit holds Li at (0.0000, 0.0000, 0.2359), Ca at (0.0000, 0.0000, 0.0000), Zn at (0.0000, 0.0000, 0.5000), Hg at (0.0000, 0.0000, 0.1258) and Hg at (0.0000, 0.0000, 0.3921).

The value obtained for the total moment is 0.00 μB/f.u. For the formation energy, the calculation gives -0.302 eV per atom.

***

(4)
Density functional theory data (PBE) for an optimized crystal structure of RbCr2GaBr.

The space group is P4/mmm (No. 123) and the conventional cell measures 5.272, 5.272 and 6.115 Å, with angles of 90.00, 90.00 and 90.00 degrees. The asymmetric unit holds Rb at (0.000, 0.000, 0.000), Cr at (0.000, 0.500, 0.500), Ga at (0.500, 0.500, 0.000) and Br at (0.500, 0.500, 0.500).

The value obtained for the total moment is 9.59 μB/f.u. The uncorrected formation energy is 0.8642 eV per atom.

***

(5)
Density functional theory data (PBE) for an optimized crystal structure of BeCr3Fe.

The space group is Pm-3m (No. 221) and the conventional cell measures 3.870, 3.870 and 3.870 Å, with angles of 90.00, 90.00 and 90.00 degrees. The asymmetric unit holds Be at (0.000, 0.000, 0.000), Cr at (0.000, 0.000, 0.500) and Fe at (0.500, 0.500, 0.500).

The value obtained for the total moment is 0.00 μB/f.u. For the energy above the most stable polymorph in this dataset, the calculation gives 0.0 kJ per mole of atoms. For the formation energy, the calculation gives 0.984 eV per atom.

***

(6)
Density functional theory data (PBE) for an optimized crystal structure of TbPr4Ho2Tm2.

The space group is C2/m (No. 12) and the conventional cell measures 15.321, 5.092 and 8.051 Å, with angles of 90.00, 108.33 and 90.00 degrees. The asymmetric unit holds Tb at (0.000, 0.000, 0.000), Pr at (0.053, 0.500, 0.330), Pr at (0.223, 0.000, 0.331), Ho at (0.112, 0.000, 0.670) and Tm at (0.168, 0.500, 0.000).

The value obtained for the total moment is 0.00 μB/f.u. For the formation energy, the calculation gives 0.025 eV per atom.

***

(7)
Density functional theory data (PBE) for an optimized crystal structure of DyYPu2Se5.

The space group is P4/mmm (No. 123) and the conventional cell measures 5.152, 5.152 and 10.749 Å, with angles of 90.00, 90.00 and 90.00 degrees. The asymmetric unit holds Dy at (0.000, 0.000, 0.000), Y at (0.000, 0.000, 0.500), Pu at (0.500, 0.500, 0.192), Se at (0.000, 0.000, 0.256), Se at (0.000, 0.500, 0.000) and Se at (0.500, 0.500, 0.500).

The value obtained for the total moment is 11.90 μB/f.u. The uncorrected formation energy is -1.1530 eV per atom.

***

(8)
Density functional theory data (PBE) for an optimized crystal structure of In2OsRh.

The space group is Cm (No. 8) and the conventional cell measures 10.360, 3.002 and 4.809 Å, with angles of 90.00, 111.57 and 90.00 degrees. The asymmetric unit holds In at (0.000, 0.000, 0.000), In at (0.220, 0.000, 0.602), Os at (0.251, 0.500, 0.113) and Rh at (0.466, 0.000, 0.487).

The value obtained for the total moment is 0.00 μB/f.u. For the energy above the most stable polymorph in this dataset, the calculation gives 6.1 kJ per mole of atoms. For the formation energy, the calculation gives 0.129 eV per atom.

***

(9)
Density functional theory data (PBE) for an optimized crystal structure of RhW2Au.

The space group is Pmmm (No. 47) and the conventional cell measures 2.764, 4.143 and 5.521 Å, with angles of 90.00, 90.00 and 90.00 degrees. The asymmetric unit holds Rh at (0.000, 0.000, 0.000), W at (0.500, 0.500, 0.238) and Au at (0.000, 0.000, 0.500).

The value obtained for the total moment is 0.00 μB/f.u. For the energy above the most stable polymorph in this dataset, the calculation gives 3.6 kJ per mole of atoms. For the formation energy, the calculation gives 0.148 eV per atom.

***

(10)
Density functional theory data (PBE) for an optimized crystal structure of LiIrCl.

The space group is F-43m (No. 216) and the conventional cell measures 5.803, 5.803 and 5.803 Å, with angles of 90.00, 90.00 and 90.00 degrees. The asymmetric unit holds Li at (0.000, 0.000, 0.000), Ir at (0.000, 0.000, 0.500) and Cl at (0.250, 0.250, 0.250).

The value obtained for the total moment is 0.00 μB/f.u. The uncorrected formation energy is 0.5946 eV per atom. For the energy above the most stable polymorph in this dataset, the calculation gives 57.1 kJ per mole of atoms.

***

(11)
Density functional theory data (PBE) for an optimized crystal structure of LaScTe.

The space group is P-6m2 (No. 187) and the conventional cell measures 5.0202, 5.0202 and 4.0115 Å, with angles of 90.00, 90.00 and 120.00 degrees. The asymmetric unit holds La at (0.0000, 0.0000, 0.0000), Sc at (0.3333, 0.6667, 0.5000) and Te at (0.6667, 0.3333, 0.5000).

The value obtained for the total moment is 1.54 μB/f.u. The uncorrected formation energy is -0.6457 eV per atom. For the energy above the most stable polymorph in this dataset, the calculation gives 30.3 kJ per mole of atoms.

***

(12)
Density functional theory data (PBE) for an optimized crystal structure of BeTlIr2.

The space group is R-3m (No. 166, hexagonal axes) and the conventional cell measures 3.0493, 3.0493 and 22.7073 Å, with angles of 90.00, 90.00 and 120.00 degrees. The asymmetric unit holds Be at (0.0000, 0.0000, 0.0000), Tl at (0.0000, 0.0000, 0.5000) and Ir at (0.0000, 0.0000, 0.2682).

The value obtained for the total moment is 0.00 μB/f.u. For the energy above the most stable polymorph in this dataset, the calculation gives 11.5 kJ per mole of atoms. For the formation energy, the calculation gives 0.256 eV per atom.

***

- The highest total moment belongs to which entry?
  DyYPu2Se5